Entry 1:
A crystal of Te3Pt relaxed with PBEsol. Source: Alexandria, functional meta-GGA SCAN.

abc: 7.6823 7.6823 7.6823
angles: 30.11 30.11 30.11
Element x y z (fractional)
Te  0.0000  0.0000  0.0000
Te  0.2312  0.2312  0.2312
Te  0.7688  0.7688  0.7688
Pt  0.5000  0.5000  0.5000

## Properties
E_form (uncorrected): -1.11 eV/f.u.
Density: 9.492 g/cm3
N(E_F): 2.3 states/eV per cell
Total moment: 0.00 μB/f.u.

=====

Entry 2:
A crystal of TmInAu relaxed with PBEsol. Source: Alexandria, functional meta-GGA SCAN.

abc: 7.6630 7.6630 3.7900
angles: 90.00 90.00 120.00
Element x y z (fractional)
Tm  0.0000  0.4008  0.0000
Tm  0.4008  0.0000  0.0000
Tm  0.5992  0.5992  0.0000
In  0.0000  0.7336  0.5000
In  0.2664  0.2664  0.5000
In  0.7336  0.0000  0.5000
Au  0.0000  0.0000  0.0000
Au  0.3333  0.6667  0.5000
Au  0.6667  0.3333  0.5000

## Properties
Density: 12.425 g/cm3
Energy of formation from the pure elements: -961 meV/atom
N(E_F): 3.1 states/eV per cell
Total moment: 0.00 μB/f.u.

=====

Entry 3:
A crystal of Cs2IBr relaxed with PBEsol. Source: Alexandria, functional meta-GGA SCAN.

abc: 6.2079 6.2079 6.2079
angles: 60.00 60.00 60.00
Element x y z (fractional)
Cs  0.2500  0.2500  0.2500
Cs  0.7500  0.7500  0.7500
I  0.0000  0.0000  0.0000
Br  0.5000  0.5000  0.5000

## Properties
E_form (uncorrected): -7.35 eV/f.u.
Density: 4.639 g/cm3
Offset from the most stable computed form: 0.0 kJ/mol of atoms
N(E_F): 0.0 states/eV per cell
Total moment: 0.01 μB/f.u.

=====

Entry 4:
A crystal of Ag4Pt3 relaxed with PBEsol. Source: Alexandria, functional meta-GGA SCAN.

abc: 6.3261 6.3261 6.8700
angles: 110.64 110.64 25.41
Element x y z (fractional)
Ag  0.1415  0.1415  0.4364
Ag  0.2845  0.2845  0.8534
Ag  0.7155  0.7155  0.1466
Ag  0.8585  0.8585  0.5636
Pt  0.0000  0.0000  0.0000
Pt  0.4314  0.4314  0.2758
Pt  0.5686  0.5686  0.7242

## Properties
Density: 15.345 g/cm3
Energy of formation from the pure elements: -12 meV/atom
Offset from the most stable computed form: 0.0 kJ/mol of atoms
N(E_F): 3.1 states/eV per cell
Total moment: 0.00 μB/f.u.

=====

Entry 5:
A crystal of CaTlOs2 relaxed with PBEsol. Source: Alexandria, functional meta-GGA SCAN.

abc: 3.1160 4.6355 4.8778
angles: 90.00 90.00 90.00
Element x y z (fractional)
Ca  0.0000  0.0000  0.0000
Tl  0.5000  0.0000  0.5000
Os  0.0000  0.5000  0.5000
Os  0.5000  0.5000  0.0000

## Properties
Density: 14.728 g/cm3
Energy of formation from the pure elements: 890 meV/atom
Offset from the most stable computed form: 8.8 kJ/mol of atoms
N(E_F): 3.9 states/eV per cell
Total moment: 0.01 μB/f.u.

=====

Entry 6:
A crystal of BaZnFeP2 relaxed with PBEsol. Source: Alexandria, functional meta-GGA SCAN.

abc: 4.6430 4.6430 5.5810
angles: 90.00 90.00 90.00
Element x y z (fractional)
Ba  0.0000  0.0000  0.0000
Zn  0.0000  0.0000  0.5000
Fe  0.5000  0.5000  0.0000
P  0.0000  0.5000  0.5000
P  0.5000  0.0000  0.5000

## Properties
Density: 4.424 g/cm3
Energy of formation from the pure elements: 708 meV/atom
N(E_F): 1.4 states/eV per cell
Total moment: 3.87 μB/f.u.

=====

Entry 7:
A crystal of CoNi2IrCl relaxed with PBEsol. Source: Alexandria, functional meta-GGA SCAN.

abc: 4.0150 4.0150 4.0044
angles: 90.00 90.00 90.00
Element x y z (fractional)
Co  0.0000  0.0000  0.0000
Ni  0.0000  0.5000  0.5000
Ni  0.5000  0.0000  0.5000
Ir  0.5000  0.5000  0.0000
Cl  0.0000  0.0000  0.5000

## Properties
E_form (uncorrected): 4.60 eV/f.u.
Density: 10.392 g/cm3
N(E_F): 4.1 states/eV per cell
Total moment: 2.08 μB/f.u.

=====

Entry 8:
A crystal of KCOF3 relaxed with PBEsol. Source: Alexandria, functional meta-GGA SCAN.

abc: 5.5120 7.0735 8.4933
angles: 90.00 91.24 90.00
Element x y z (fractional)
K  0.2259  0.1566  0.1751
K  0.2259  0.3434  0.6751
K  0.7741  0.6566  0.3249
K  0.7741  0.8434  0.8249
C  0.2360  0.7016  0.0738
C  0.2360  0.7984  0.5738
C  0.7640  0.2016  0.4262
C  0.7640  0.2984  0.9262
O  0.0528  0.7006  0.5894
O  0.0528  0.7994  0.0894
O  0.9472  0.2006  0.9106
O  0.9472  0.2994  0.4106
F  0.2586  0.6023  0.9308
F  0.2586  0.8977  0.4308
F  0.2761  0.5577  0.1890
F  0.2761  0.9423  0.6890
F  0.4647  0.6979  0.5830
F  0.4647  0.8021  0.0830
F  0.5353  0.1979  0.9170
F  0.5353  0.3021  0.4170
F  0.7239  0.0577  0.3110
F  0.7239  0.4423  0.8110
F  0.7414  0.1023  0.5692
F  0.7414  0.3977  0.0692

## Properties
E_form (uncorrected): -12.63 eV/f.u.
Density: 2.490 g/cm3
N(E_F): 0.0 states/eV per cell
Total moment: 0.08 μB/f.u.

=====

Entry 9:
A crystal of ZnPOs relaxed with PBEsol. Source: Alexandria, functional meta-GGA SCAN.

abc: 5.2305 5.2305 5.2305
angles: 147.11 147.11 47.20
Element x y z (fractional)
Zn  0.0000  0.0000  0.0000
P  0.3071  0.3071  0.0000
Os  0.6881  0.6881  0.0000

## Properties
Density: 11.324 g/cm3
Energy of formation from the pure elements: 40 meV/atom
N(E_F): 1.7 states/eV per cell
Total moment: 0.00 μB/f.u.

=====

Entry 10:
A crystal of Ba4Na2CaTi3Si4S2O26 relaxed with PBEsol. Source: Alexandria, functional meta-GGA SCAN.

abc: 5.4380 7.1386 14.6815
angles: 81.06 85.13 89.98
Element x y z (fractional)
Ba  0.0000  0.0000  0.0000
Ba  0.0691  0.2875  0.6878
Ba  0.4809  0.4626  0.0876
Ba  0.5509  0.7514  0.7759
Na  0.2751  0.1408  0.3885
Na  0.7743  0.8813  0.3880
Ca  0.2735  0.6004  0.3878
Ti  0.0939  0.8118  0.5912
Ti  0.4562  0.9378  0.1845
Ti  0.7742  0.3659  0.3882
Si  0.5977  0.0978  0.5797
Si  0.5987  0.5329  0.5789
Si  0.9514  0.6533  0.1952
Si  0.9523  0.2176  0.1981
S  0.0207  0.5773  0.9109
S  0.5311  0.1740  0.8651
O  0.0119  0.3753  0.9500
O  0.0312  0.3622  0.4633
O  0.0445  0.6074  0.8075
O  0.1163  0.8436  0.4747
O  0.2095  0.1361  0.1521
O  0.2109  0.7621  0.1484
O  0.2359  0.6723  0.9428
O  0.3154  0.0798  0.8330
O  0.3391  0.9885  0.6263
O  0.3405  0.6139  0.6250
O  0.4337  0.8944  0.3010
O  0.5073  0.1436  0.9685
O  0.5165  0.4076  0.3136
O  0.5413  0.3761  0.8262
O  0.5843  0.3019  0.6223
O  0.6118  0.5665  0.4680
O  0.6142  0.1345  0.4687
O  0.7180  0.7630  0.1469
O  0.7188  0.1354  0.1515
O  0.7608  0.0785  0.8332
O  0.7904  0.6720  0.9427
O  0.8308  0.6146  0.6262
O  0.8324  0.9880  0.6271
O  0.9359  0.1859  0.3090
O  0.9370  0.6179  0.3062
O  0.9655  0.4481  0.1536

## Properties
E_form (uncorrected): -124.74 eV/f.u.
Density: 4.060 g/cm3
N(E_F): 0.0 states/eV per cell
Total moment: 0.12 μB/f.u.

=====

Entry 11:
A crystal of HoCrO4 relaxed with PBEsol. Source: Alexandria, functional meta-GGA SCAN.

abc: 6.5539 6.5539 6.5539
angles: 135.50 135.50 64.75
Element x y z (fractional)
Ho  0.3750  0.1250  0.2500
Ho  0.6250  0.8750  0.7500
Cr  0.1250  0.3750  0.7500
Cr  0.8750  0.6250  0.2500
O  0.0598  0.7122  0.8639
O  0.2122  0.8483  0.6524
O  0.3041  0.4402  0.1524
O  0.3483  0.1959  0.6361
O  0.6517  0.8041  0.3639
O  0.6959  0.5598  0.8476
O  0.7878  0.1517  0.3476
O  0.9402  0.2878  0.1361

## Properties
E_form (uncorrected): -17.33 eV/f.u.
Density: 6.843 g/cm3
N(E_F): 2.6 states/eV per cell
Total moment: 1.00 μB/f.u.

=====

Entry 12:
A crystal of InSN2F relaxed with PBEsol. Source: Alexandria, functional meta-GGA SCAN.

abc: 4.2706 4.2706 5.2235
angles: 90.00 90.00 90.00
Element x y z (fractional)
In  0.0000  0.0000  0.0000
S  0.0000  0.0000  0.5000
N  0.0000  0.5000  0.0000
N  0.5000  0.0000  0.0000
F  0.5000  0.5000  0.5000

## Properties
E_form (uncorrected): 6.71 eV/f.u.
Density: 3.380 g/cm3
N(E_F): 1.4 states/eV per cell
Total moment: 6.00 μB/f.u.

=====

Q: Look up the N(E_F) of the fifth one.
A: 3.9 states/eV per cell